DFT (PBE) results for a relaxed Ce4Y3Ge4 crystal.

Space group = No. 71
DFT formation energy = -0.48 eV per atom

abc: 3.9131 9.6453 9.2463
angles: 121.44 102.22 90.00
Closest atoms and distances in Å follow each position.
Element x y z (fractional)
Ce 0.3094 0.0933 0.6187  2 Ce 2.75, 4 Ge 2.93-2.98
Ce 0.6906 0.9067 0.3813  2 Ce 2.75, 4 Ge 2.93-2.98
Ce 0.6906 0.4745 0.3813  2 Ce 2.75, 4 Ge 2.93-2.98
Ce 0.3094 0.5255 0.6187  2 Ce 2.75, 4 Ge 2.93-2.98
Ge 0.5000 0.2174 0.0000  2 Ce 2.98, 4 Y 3.29
Ge 0.2414 0.7414 0.4829  6 Ce 2.93-2.96, 2 Y 3.05
Ge 0.7586 0.2586 0.5171  6 Ce 2.93-2.96, 2 Y 3.05
Ge 0.5000 0.7826 0.0000  2 Ce 2.98, 4 Y 3.29
Y 0.1059 0.1059 0.2117  6 Ge 3.05-3.29, 1 Y 3.24
Y 0.8941 0.8941 0.7883  6 Ge 3.05-3.29, 1 Y 3.24
Y 0.0000 0.5000 0.0000  6 Ge 3.36-3.69


DFT (PBE) results for a relaxed CeYGe3 crystal.

Space group = No. 63
DFT formation energy = -0.69 eV per atom

abc: 4.0089 4.2327 13.6040
angles: 98.95 90.00 90.00
Closest atoms and distances in Å follow each position.
Element x y z (fractional)
Ce 0.2500 0.0736 0.1471  10 Ge 3.16-3.46
Ce 0.7500 0.9264 0.8529  10 Ge 3.16-3.46
Ge 0.7500 0.3143 0.6285  2 Ge 2.62
Ge 0.2500 0.6857 0.3715  2 Ge 2.62
Ge 0.7500 0.6232 0.2464  3 Ge 2.55-2.62
Ge 0.2500 0.3768 0.7536  3 Ge 2.55-2.62
Ge 0.7500 0.5282 0.0565  3 Ge 2.51-2.55
Ge 0.2500 0.4718 0.9435  3 Ge 2.51-2.55
Y 0.7500 0.2037 0.4075  7 Ge 2.95-3.03
Y 0.2500 0.7963 0.5925  7 Ge 2.95-3.03


DFT (PBE) results for a relaxed Ce2YGe crystal.

Space group = No. 123
DFT formation energy = -0.38 eV per atom

abc: 5.0998 4.3806 4.3806
angles: 90.00 90.00 90.00
Closest atoms and distances in Å follow each position.
Element x y z (fractional)
Ce 0.0000 0.5000 0.0000  4 Ce 3.10, 4 Ge 3.36, 4 Y 3.36
Ce 0.0000 0.0000 0.5000  4 Ce 3.10, 4 Ge 3.36, 4 Y 3.36
Y 0.5000 0.0000 0.0000  4 Ge 3.10, 8 Ce 3.36
Ge 0.5000 0.5000 0.5000  4 Y 3.10, 8 Ce 3.36


DFT (PBE) results for a relaxed Ce5YGe5 crystal.

Space group = No. 12
DFT formation energy = -0.56 eV per atom

abc: 5.9351 7.2542 8.3597
angles: 106.64 90.00 114.15
Closest atoms and distances in Å follow each position.
Element x y z (fractional)
Ce 0.0000 0.0000 0.5000  4 Ge 2.94-2.95
Ce 0.3360 0.6720 0.6667  5 Ge 2.94-2.97
Ce 0.6640 0.3280 0.3333  5 Ge 2.94-2.97
Ce 0.3339 0.6678 0.1662  5 Ge 2.95-2.98
Ce 0.6661 0.3322 0.8338  5 Ge 2.95-2.98
Ge 0.5000 0.0000 0.0000  4 Ce 2.95, 2 Y 2.97
Ge 0.8315 0.6629 0.1703  5 Ce 2.94-2.97, 1 Y 3.00
Ge 0.1673 0.3346 0.3374  5 Ce 2.94-2.98, 1 Y 2.99
Ge 0.1685 0.3371 0.8297  5 Ce 2.94-2.97, 1 Y 3.00
Ge 0.8327 0.6654 0.6626  5 Ce 2.94-2.98, 1 Y 2.99
Y 0.0000 0.0000 0.0000  6 Ge 2.97-3.00